# 1
TlCdBi2 | PBE | optimized geometry

Unit cell a=5.8027 b=5.8027 c=3.5244 alpha=90.00 beta=90.00 gamma=90.00
Closest atoms and distances in Å follow each position.
Fractional positions:
Tl  0.0000  0.0000  0.0000  8 Bi 3.39, 2 Tl 3.52
Cd  0.5000  0.5000  0.0000  8 Bi 3.39, 2 Cd 3.52
Bi  0.0000  0.5000  0.5000  4 Cd 3.39, 4 Tl 3.39, 2 Bi 3.52
Bi  0.5000  0.0000  0.5000  4 Cd 3.39, 4 Tl 3.39, 2 Bi 3.52

Calculated values
Energy relative to the elements: 0.115 eV/atom
Polymorph energy (0 for the lowest one): 73.3 meV/atom
Crystal system: tetragonal

***

# 2
Pr3Dy6Tm2Pu | PBE | optimized geometry

Unit cell a=6.1771 b=6.1771 c=11.7621 alpha=95.03 beta=95.03 gamma=120.02
Closest atoms and distances in Å follow each position.
Fractional positions:
Pr  0.0000  0.0000  0.0000  6 Pr 3.56-3.57, 6 Dy 3.61-3.63
Pr  0.3329  0.6671  0.0000  6 Pr 3.56-3.58, 6 Dy 3.61-3.63
Pr  0.6671  0.3329  0.0000  6 Pr 3.56-3.58, 6 Dy 3.61-3.63
Dy  0.0898  0.4191  0.2572  1 Pu 3.47, 2 Tm 3.49, 6 Dy 3.52-3.59, 3 Pr 3.61-3.63
Dy  0.2515  0.2515  0.7430  1 Pu 3.47, 2 Tm 3.49, 6 Dy 3.52-3.59, 3 Pr 3.61-3.63
Dy  0.4191  0.0898  0.2572  1 Pu 3.47, 2 Tm 3.49, 6 Dy 3.52-3.59, 3 Pr 3.61-3.63
Dy  0.5809  0.9102  0.7428  1 Pu 3.47, 2 Tm 3.49, 6 Dy 3.52-3.59, 3 Pr 3.61-3.63
Dy  0.7485  0.7485  0.2570  1 Pu 3.47, 2 Tm 3.49, 6 Dy 3.52-3.59, 3 Pr 3.61-3.63
Dy  0.9102  0.5809  0.7428  1 Pu 3.47, 2 Tm 3.49, 6 Dy 3.52-3.59, 3 Pr 3.61-3.63
Tm  0.1666  0.8334  0.5000  6 Dy 3.49, 3 Tm 3.56-3.57, 3 Pu 3.57
Tm  0.8334  0.1666  0.5000  6 Dy 3.49, 3 Tm 3.56-3.57, 3 Pu 3.57
Pu  0.5000  0.5000  0.5000  6 Dy 3.47, 6 Tm 3.57

Calculated values
Energy relative to the elements: 0.048 eV/atom
Crystal system: monoclinic

***

# 3
SmURu4 | PBE | optimized geometry

Unit cell a=5.3352 b=5.3352 c=5.3352 alpha=60.00 beta=60.00 gamma=60.00
Closest atoms and distances in Å follow each position.
Fractional positions:
Sm  0.0000  0.0000  0.0000  12 Ru 3.13, 4 U 3.27
U  0.7500  0.7500  0.7500  12 Ru 3.13, 4 Sm 3.27
Ru  0.3752  0.3752  0.3752  6 Ru 2.66-2.67
Ru  0.3752  0.3752  0.8745  6 Ru 2.66-2.67
Ru  0.3752  0.8745  0.3752  6 Ru 2.66-2.67
Ru  0.8745  0.3752  0.3752  6 Ru 2.66-2.67

Calculated values
Energy relative to the elements: -0.115 eV/atom
Crystal system: cubic

***

# 4
P2HRhO | PBE | optimized geometry

Unit cell a=3.5105 b=3.5105 c=4.2144 alpha=90.00 beta=90.00 gamma=90.00
Closest atoms and distances in Å follow each position.
Fractional positions:
P  0.0000  0.5000  0.0000  2 H 1.76
P  0.5000  0.0000  0.0000  2 H 1.76
H  0.0000  0.0000  0.0000  4 P 1.76
Rh  0.5000  0.5000  0.5000  4 O 2.48, 8 P 2.74
O  0.0000  0.0000  0.5000  2 H 2.11

Calculated values
Polymorph energy (0 for the lowest one): 0.0 meV/atom
Crystal system: tetragonal

***

# 5
Ba2CBr | PBE | optimized geometry

Unit cell a=7.3354 b=7.3354 c=7.3354 alpha=115.57 beta=115.57 gamma=97.86
Closest atoms and distances in Å follow each position.
Fractional positions:
Ba  0.0546  0.6250  0.9296  2 C 2.69
Ba  0.3750  0.3046  0.4296  2 C 2.69
Ba  0.6954  0.1250  0.0704  2 C 2.69
Ba  0.8750  0.9454  0.5704  2 C 2.69
C  0.0000  0.0000  0.0000  4 Ba 2.69
C  0.7500  0.2500  0.5000  4 Ba 2.69
Br  0.2500  0.7500  0.5000  4 Ba 3.40
Br  0.5000  0.5000  0.0000  4 Ba 3.40

Calculated values
Crystal system: tetragonal

***

# 6
PtRh2Pb | PBE | optimized geometry

Unit cell a=2.9944 b=3.8985 c=5.8489 alpha=90.00 beta=90.00 gamma=90.00
Closest atoms and distances in Å follow each position.
Fractional positions:
Pt  0.0000  0.0000  0.0000  5 Rh 2.64-2.78
Rh  0.0000  0.0000  0.4521  1 Pt 2.64, 4 Rh 2.80, 4 Pb 2.90
Rh  0.5000  0.5000  0.2214  4 Pt 2.78, 6 Rh 2.80-2.99, 2 Pb 2.89-2.96
Pb  0.5000  0.5000  0.7147  6 Rh 2.89-2.96, 4 Pt 2.97, 2 Pb 2.99

Calculated values
Energy relative to the elements: 0.135 eV/atom
Polymorph energy (0 for the lowest one): 151.5 meV/atom
Crystal system: orthorhombic

***

# 7
ScAg2W | PBE | optimized geometry

Unit cell a=10.0699 b=10.0699 c=10.0699 alpha=16.50 beta=16.50 gamma=16.50
Closest atoms and distances in Å follow each position.
Fractional positions:
Sc  0.0000  0.0000  0.0000  6 Sc 2.89, 6 Ag 3.03
Ag  0.2486  0.2486  0.2486  6 Ag 2.89, 3 W 2.96, 3 Sc 3.03
Ag  0.7514  0.7514  0.7514  6 Ag 2.89, 3 W 2.96, 3 Sc 3.03
W  0.5000  0.5000  0.5000  6 W 2.89, 6 Ag 2.96

Calculated values
Energy relative to the elements: 0.418 eV/atom
Polymorph energy (0 for the lowest one): 220.9 meV/atom
Crystal system: trigonal

***

# 8
VAsPt2 | PBE | optimized geometry

Unit cell a=6.8417 b=6.8417 c=6.8417 alpha=131.59 beta=131.59 gamma=70.88
Closest atoms and distances in Å follow each position.
Fractional positions:
V  0.0000  0.0000  0.0000  4 Pt 2.42
V  0.7500  0.2500  0.5000  4 Pt 2.42
As  0.2500  0.7500  0.5000  4 Pt 2.42
As  0.5000  0.5000  0.0000  4 Pt 2.42
Pt  0.1250  0.6250  0.0000  2 As 2.42, 2 V 2.42
Pt  0.3750  0.3750  0.5000  2 As 2.42, 2 V 2.42
Pt  0.6250  0.1250  0.0000  2 As 2.42, 2 V 2.42
Pt  0.8750  0.8750  0.5000  2 As 2.42, 2 V 2.42

Calculated values
Energy relative to the elements: 0.135 eV/atom
Crystal system: tetragonal

***

The calculation returns the following total DFT energy (no corrections) values, one per record and in order: -10.582 -64.655 -53.803 -23.720 -31.577 -23.911 -23.314 -50.619 eV for the cell shown.
The calculation returns the following DOS(E_F) values, one per record and in order: 2.44 23.08 11.45 2.45 3.62 5.18 3.01 6.74 states/eV per cell.